[1]
The following is a DFT calculation (PBE) of an optimized crystal structure of Y2ZrCr.

a = 5.226 Å, b = 5.226 Å, c = 5.226 Å
α = 60.00°, β = 60.00°, γ = 60.00°
Atoms (fractional coordinates):
Y: 0.250 0.250 0.250
Y: 0.750 0.750 0.750
Cr: 0.000 0.000 0.000
Zr: 0.500 0.500 0.500

Calculated values
DOS(E_F) ... 4.6 states/eV/f.u.
Space-group type ... No. 225
Calculated formation energy ... 0.3482 eV/atom
Final energy ... -7.427 eV per atom
Excess energy over the best structure of this formula in the dataset ... 0.1170 eV/atom

=====

[2]
The following is a DFT calculation (PBE) of an optimized crystal structure of CsKRbNa.

a = 7.513 Å, b = 7.513 Å, c = 7.513 Å
α = 60.00°, β = 60.00°, γ = 60.00°
Atoms (fractional coordinates):
Cs: 0.500 0.500 0.500
Na: 0.750 0.750 0.750
K: 0.250 0.250 0.250
Rb: 0.000 0.000 0.000

Calculated values
DOS(E_F) ... 3.3 states/eV/f.u.
Space-group type ... No. 216
Calculated formation energy ... 0.0323 eV/atom
Final energy ... -1.027 eV per atom
Excess energy over the best structure of this formula in the dataset ... 0.0079 eV/atom

=====

[3]
The following is a DFT calculation (PBE) of an optimized crystal structure of La4Ho3Er4.

a = 3.517 Å, b = 5.707 Å, c = 18.250 Å
α = 80.99°, β = 84.47°, γ = 90.00°
Atoms (fractional coordinates):
La: 0.592 0.092 0.816
La: 0.269 0.269 0.461
La: 0.731 0.731 0.539
La: 0.408 0.908 0.184
Ho: 0.136 0.636 0.728
Ho: 0.864 0.364 0.272
Ho: 0.000 0.000 0.000
Er: 0.545 0.545 0.910
Er: 0.455 0.455 0.090
Er: 0.319 0.819 0.363
Er: 0.681 0.181 0.637

Calculated values
DOS(E_F) ... 17.8 states/eV/f.u.
Space-group type ... No. 71
Calculated formation energy ... 0.0713 eV/atom
Final energy ... -4.628 eV per atom

=====

[4]
The following is a DFT calculation (PBE) of an optimized crystal structure of BaLiSnHg3.

a = 7.065 Å, b = 7.135 Å, c = 7.643 Å
α = 117.83°, β = 90.00°, γ = 90.00°
Atoms (fractional coordinates):
Ba: 0.750 0.297 0.595
Ba: 0.250 0.703 0.405
Li: 0.250 0.951 0.903
Li: 0.750 0.049 0.097
Sn: 0.250 0.365 0.731
Sn: 0.750 0.635 0.269
Hg: 0.250 0.147 0.294
Hg: 0.000 0.265 0.000
Hg: 0.500 0.735 0.000
Hg: 0.500 0.265 0.000
Hg: 0.000 0.735 0.000
Hg: 0.750 0.853 0.706

Calculated values
DOS(E_F) ... 2.1 states/eV/f.u.
Space-group type ... No. 63
Calculated formation energy ... -0.3100 eV/atom
Final energy ... -1.767 eV per atom

=====

[5]
The following is a DFT calculation (PBE) of an optimized crystal structure of CeY3Tm2As6.

a = 7.132 Å, b = 7.132 Å, c = 7.140 Å
α = 99.59°, β = 99.59°, γ = 120.00°
Atoms (fractional coordinates):
Ce: 0.000 0.000 0.000
Y: 0.166 0.834 0.500
Y: 0.834 0.166 0.500
Y: 0.500 0.500 0.500
Tm: 0.333 0.667 0.000
Tm: 0.667 0.333 0.000
As: 0.917 0.581 0.752
As: 0.746 0.746 0.247
As: 0.083 0.419 0.248
As: 0.581 0.917 0.752
As: 0.254 0.254 0.753
As: 0.419 0.083 0.248

Calculated values
DOS(E_F) ... 5.6 states/eV/f.u.
Space-group type ... No. 12
Calculated formation energy ... -1.5192 eV/atom
Final energy ... -6.700 eV per atom

=====

[6]
The following is a DFT calculation (PBE) of an optimized crystal structure of ZrPt.

a = 7.434 Å, b = 7.434 Å, c = 7.434 Å
α = 90.00°, β = 90.00°, γ = 90.00°
Atoms (fractional coordinates):
Zr: 0.250 0.500 0.000
Zr: 0.750 0.500 0.000
Zr: 0.500 0.000 0.250
Zr: 0.500 0.000 0.750
Zr: 0.000 0.250 0.500
Zr: 0.000 0.750 0.500
Pt: 0.250 0.000 0.500
Pt: 0.750 0.000 0.500
Pt: 0.000 0.500 0.250
Pt: 0.000 0.500 0.750
Pt: 0.500 0.250 0.000
Pt: 0.500 0.750 0.000

Calculated values
DOS(E_F) ... 2.0 states/eV/f.u.
Space-group type ... No. 223
Calculated formation energy ... 0.0626 eV/atom
Final energy ... -7.232 eV per atom

=====

[7]
The following is a DFT calculation (PBE) of an optimized crystal structure of SrCr3Sb.

a = 5.280 Å, b = 5.280 Å, c = 5.280 Å
α = 90.00°, β = 90.00°, γ = 90.00°
Atoms (fractional coordinates):
Sb: 0.000 0.000 0.000
Cr: 0.000 0.500 0.000
Cr: 0.000 0.000 0.500
Cr: 0.500 0.000 0.000
Sr: 0.500 0.500 0.500

Calculated values
DOS(E_F) ... 4.5 states/eV/f.u.
Space-group type ... No. 221
Formation energy (no corrections) ... 0.876 eV per atom
Final energy ... -6.058 eV per atom
Excess energy over the best structure of this formula in the dataset ... 0.0000 eV/atom

=====

[8]
The following is a DFT calculation (PBE) of an optimized crystal structure of LaDyInAu.

a = 5.371 Å, b = 5.371 Å, c = 5.371 Å
α = 60.00°, β = 60.00°, γ = 60.00°
Atoms (fractional coordinates):
In: 0.500 0.500 0.500
La: 0.250 0.250 0.250
Au: 0.000 0.000 0.000
Dy: 0.750 0.750 0.750

Calculated values
DOS(E_F) ... 4.1 states/eV/f.u.
Space-group type ... No. 216
Calculated formation energy ... -0.5803 eV/atom
Final energy ... -4.467 eV per atom

=====

[9]
The following is a DFT calculation (PBE) of an optimized crystal structure of Ba2TlPb.

a = 4.458 Å, b = 4.220 Å, c = 9.535 Å
α = 63.56°, β = 90.00°, γ = 90.00°
Atoms (fractional coordinates):
Pb: 0.500 0.250 0.250
Tl: 0.500 0.750 0.750
Ba: 0.000 0.997 0.003
Ba: 0.000 0.503 0.497

Calculated values
DOS(E_F) ... 3.0 states/eV/f.u.
Space-group type ... No. 10
Calculated formation energy ... -0.4527 eV/atom
Final energy ... -2.933 eV per atom

=====

[10]
The following is a DFT calculation (PBE) of an optimized crystal structure of Be3Zn.

a = 4.130 Å, b = 4.130 Å, c = 2.437 Å
α = 90.00°, β = 90.00°, γ = 110.06°
Atoms (fractional coordinates):
Be: 0.000 0.500 0.500
Be: 0.500 0.000 0.500
Be: 0.500 0.500 0.000
Zn: 0.000 0.000 0.000

Calculated values
DOS(E_F) ... 0.7 states/eV/f.u.
Space-group type ... No. 65
Calculated formation energy ... 0.2158 eV/atom
Final energy ... -2.897 eV per atom

=====

[11]
The following is a DFT calculation (PBE) of an optimized crystal structure of Ga2IBr.

a = 3.967 Å, b = 5.557 Å, c = 5.557 Å
α = 90.00°, β = 90.00°, γ = 90.00°
Atoms (fractional coordinates):
I: 0.500 0.500 0.500
Ga: 0.000 0.000 0.500
Ga: 0.000 0.500 0.000
Br: 0.500 0.000 0.000

Calculated values
Space-group type ... No. 123
Formation energy (no corrections) ... -0.338 eV per atom
Final energy ... -2.657 eV per atom
Excess energy over the best structure of this formula in the dataset ... 0.1281 eV/atom

=====

[12]
The following is a DFT calculation (PBE) of an optimized crystal structure of NpNiSe2.

a = 3.443 Å, b = 3.443 Å, c = 8.698 Å
α = 78.58°, β = 78.58°, γ = 60.00°
Atoms (fractional coordinates):
Np: 0.000 0.000 0.000
Ni: 0.500 0.500 0.500
Se: 0.113 0.113 0.661
Se: 0.887 0.887 0.339

Calculated values
DOS(E_F) ... 8.6 states/eV/f.u.
Space-group type ... No. 166
Formation energy (no corrections) ... -0.013 eV per atom
Final energy ... -6.436 eV per atom
Excess energy over the best structure of this formula in the dataset ... 0.7535 eV/atom

=====

[13]
The following is a DFT calculation (PBE) of an optimized crystal structure of ErSc2Ru3.

a = 3.272 Å, b = 3.272 Å, c = 9.739 Å
α = 90.00°, β = 90.00°, γ = 90.00°
Atoms (fractional coordinates):
Er: 0.500 0.500 0.500
Sc: 0.500 0.500 0.838
Sc: 0.500 0.500 0.162
Ru: 0.000 0.000 0.000
Ru: 0.000 0.000 0.677
Ru: 0.000 0.000 0.323

Calculated values
DOS(E_F) ... 6.0 states/eV/f.u.
Space-group type ... No. 123
Calculated formation energy ... -0.4767 eV/atom
Final energy ... -7.986 eV per atom
Excess energy over the best structure of this formula in the dataset ... 0.0000 eV/atom

=====

[14]
The following is a DFT calculation (PBE) of an optimized crystal structure of Ba3Hg2Sb2.

a = 6.232 Å, b = 6.086 Å, c = 8.913 Å
α = 106.20°, β = 107.90°, γ = 115.29°
Atoms (fractional coordinates):
Ba: 0.000 0.000 0.000
Ba: 0.449 0.128 0.726
Ba: 0.551 0.872 0.274
Hg: 0.215 0.365 0.450
Hg: 0.785 0.635 0.550
Sb: 0.846 0.491 0.204
Sb: 0.154 0.509 0.796

Calculated values
DOS(E_F) ... 0.8 states/eV/f.u.
Space-group type ... No. 2
Formation energy (no corrections) ... -0.725 eV per atom
Final energy ... -2.813 eV per atom

=====

[15]
The following is a DFT calculation (PBE) of an optimized crystal structure of TiBr2O.

a = 4.511 Å, b = 4.511 Å, c = 4.511 Å
α = 60.00°, β = 60.00°, γ = 60.00°
Atoms (fractional coordinates):
O: 0.000 0.000 0.000
Br: 0.250 0.250 0.250
Br: 0.750 0.750 0.750
Ti: 0.500 0.500 0.500

Calculated values
DOS(E_F) ... 0.9 states/eV/f.u.
Space-group type ... No. 225
Formation energy (no corrections) ... -0.123 eV per atom
Final energy ... -4.172 eV per atom

=====

[16]
The following is a DFT calculation (PBE) of an optimized crystal structure of PrYSI.

a = 4.014 Å, b = 4.016 Å, c = 8.192 Å
α = 90.00°, β = 104.13°, γ = 120.01°
Atoms (fractional coordinates):
Pr: 0.508 0.152 0.675
Y: 0.098 0.947 0.060
S: 0.314 0.555 0.883
I: 0.959 0.377 0.351

Calculated values
DOS(E_F) ... 3.3 states/eV/f.u.
Space-group type ... No. 160
Formation energy (no corrections) ... -1.406 eV per atom
Final energy ... -5.636 eV per atom

=====

[17]
The following is a DFT calculation (PBE) of an optimized crystal structure of GaPd3O6.

a = 3.157 Å, b = 6.198 Å, c = 6.198 Å
α = 107.70°, β = 90.00°, γ = 90.00°
Atoms (fractional coordinates):
Ga: 0.000 0.500 0.500
Pd: 0.500 0.500 0.000
Pd: 0.000 0.000 0.000
Pd: 0.500 0.000 0.500
O: 0.000 0.086 0.335
O: 0.000 0.914 0.665
O: 0.000 0.335 0.086
O: 0.000 0.665 0.914
O: 0.500 0.634 0.366
O: 0.500 0.366 0.634

Calculated values
DOS(E_F) ... 4.1 states/eV/f.u.
Space-group type ... No. 65
Formation energy (no corrections) ... -0.683 eV per atom
Final energy ... -5.519 eV per atom

=====

[18]
The following is a DFT calculation (PBE) of an optimized crystal structure of CdIn2Au.

a = 6.370 Å, b = 6.370 Å, c = 6.370 Å
α = 150.28°, β = 131.44°, γ = 57.98°
Atoms (fractional coordinates):
Cd: 0.721 0.221 0.500
Au: 0.502 0.502 0.000
In: 0.997 0.997 0.000
In: 0.280 0.780 0.500

Calculated values
DOS(E_F) ... 1.4 states/eV/f.u.
Space-group type ... No. 44
Calculated formation energy ... -0.0386 eV/atom
Final energy ... -2.456 eV per atom

=====

One value per record, in order, for total magnetization: 1.57 0.00 0.00 0.00 0.49 0.00 13.21 0.01 0.00 0.00 0.00 4.61 0.00 0.00 0.00 0.00 0.00 0.00 μB per formula unit.